Material: Dy3Ho4
Method: DFT, PBE
State: relaxed

As for the distance to the lowest polymorph of the same formula: 111 meV/atom. The density comes out at 8.7 Mg/m³. For the calculated total energy, the calculation gives -0.328 Ry/atom. As for the formation energy: 0.1298 eV per atom.

Cell lengths 5.5160, 5.5160, 8.9814 Å; angles 112.69, 112.69, 64.10 degrees
Element x y z (fractional)
Dy 0.0000 0.0000 0.0000
Dy 0.4282 0.4282 0.2849
Dy 0.5718 0.5718 0.7151
Ho 0.1437 0.1437 0.4301
Ho 0.2851 0.2851 0.8566
Ho 0.7149 0.7149 0.1434
Ho 0.8563 0.8563 0.5699